The following is a GGA-PBE calculation of AcCeS after structural relaxation, from the Alexandria database.

```
AcCeS
1.0
4.1133 0.0000 0.0000
0.0000 4.1133 0.0000
0.0000 0.0000 10.1704
Ac Ce S
2 2 2
Cartesian
1.0283 1.0283 1.7008 Ac
3.0849 3.0849 8.4696 Ac
1.0283 3.0849 5.0852 Ce
3.0849 1.0283 5.0852 Ce
1.0283 1.0283 7.3145 S
3.0849 3.0849 2.8559 S
```

Results
formation energy without anion corrections	-1.06	eV per atom
magnetization	0.11	μB per atom
space-group type	P4/nmm